[1]
DFT (GGA-PBE) results for a relaxed structure of CaPaAgO5.

Cell and atoms, written as POSCAR:
```
CaPaAgO5
1.0
-4.816 -2.956 1.953
4.932 -3.346 0.475
1.149 4.936 6.274
O Pa Ag Ca
10 2 2 2
Direct
0.084 0.916 0.250 O
0.658 0.669 0.409 O
0.218 0.797 0.942 O
0.342 0.331 0.591 O
0.203 0.782 0.558 O
0.782 0.203 0.058 O
0.669 0.658 0.909 O
0.797 0.218 0.442 O
0.331 0.342 0.091 O
0.916 0.084 0.750 O
0.000 0.000 0.000 Pa
0.000 0.000 0.500 Pa
0.353 0.647 0.750 Ag
0.647 0.353 0.250 Ag
0.315 0.685 0.250 Ca
0.685 0.315 0.750 Ca
```

Calculated values
space-group type	C2/c
formation energy from raw total energies	-2.204	eV per atom


[2]
DFT (GGA-PBE) results for a relaxed structure of Ca2AgPbO5.

Cell and atoms, written as POSCAR:
```
Ca2AgPbO5
1.0
3.394 0.000 0.000
-1.697 6.911 0.000
0.000 0.000 11.165
O Ag Pb Ca
10 2 2 4
Direct
0.510 0.020 0.261 O
0.758 0.515 0.169 O
0.490 0.980 0.761 O
0.086 0.172 0.079 O
0.914 0.828 0.579 O
0.391 0.783 0.989 O
0.609 0.217 0.489 O
0.242 0.485 0.669 O
0.713 0.426 0.906 O
0.287 0.574 0.406 O
0.549 0.098 0.936 Ag
0.451 0.902 0.436 Ag
0.763 0.526 0.535 Pb
0.237 0.474 0.035 Pb
0.869 0.737 0.798 Ca
0.932 0.863 0.150 Ca
0.068 0.137 0.650 Ca
0.131 0.263 0.298 Ca
```

Calculated values
space-group type	Cmc2_1
formation energy from raw total energies	-1.533	eV per atom